Entry from Alexandria via LeMat-Bulk: a relaxed structure of FeC2O (PBE+U).

a b c (Å): 4.214 4.214 5.006
angles (deg): 65.11 65.11 90.00
Sites, in units of the cell vectors:
C 0.622 0.125 0.250
C 0.128 0.625 0.250
C 0.375 0.378 0.750
O 0.250 0.750 0.500
O 0.500 0.500 0.000
Fe 0.750 0.250 0.500
C 0.875 0.872 0.750
Fe 0.000 0.000 0.000

Results
For the total energy, the calculation gives -5.312 eV/atom. The magnetization comes out at 0.00 μB per formula unit. The calculated volume is 8.93 Å³ per atom. As for the space group: I-42d (122).